Entry 1:
First-principles (PBE) data for a relaxed AcZnSnRh crystal, as listed in Alexandria via LeMat-Bulk.

Lattice parameters (Å, degrees): 5.0502 5.0502 5.0502 60.00 60.00 60.00
Positions (direct):
Zn1 0.2500 0.2500 0.2500
Ac1 0.0000 0.0000 0.0000
Sn1 0.5000 0.5000 0.5000
Rh1 0.7500 0.7500 0.7500

Calculated values
E_form in kJ per mole of atoms: -35.3
Calculated volume in A^3/atom: 22.77
Symmetry: F-43m, No. 216

=====

Entry 2:
First-principles (PBE) data for a relaxed Ac2ZnSnRh6 crystal, as listed in Alexandria via LeMat-Bulk.

Lattice parameters (Å, degrees): 6.1024 6.9230 6.7693 59.56 63.20 85.08
Positions (direct):
Ac1 0.8760 0.2925 0.4304
Ac2 0.1240 0.7075 0.5696
Rh1 0.5779 0.0854 0.2558
Rh2 0.5975 0.8142 0.0768
Rh3 0.6512 0.6653 0.5063
Rh4 0.3488 0.3347 0.4937
Rh5 0.4221 0.9146 0.7442
Rh6 0.4025 0.1858 0.9232
Zn1 0.0000 0.0000 0.0000
Sn1 0.5000 0.5000 0.0000

Calculated values
E_form in kJ per mole of atoms: -35.9
Calculated volume in A^3/atom: 21.63
Symmetry: P-1, No. 2

=====

Entry 3:
First-principles (PBE) data for a relaxed Ac2ZrSn3Rh4 crystal, as listed in Alexandria via LeMat-Bulk.

Lattice parameters (Å, degrees): 4.4858 4.4858 11.3998 90.00 90.00 90.00
Positions (direct):
Ac1 0.0000 0.5000 0.7567
Ac2 0.5000 0.0000 0.2433
Sn1 0.0000 0.5000 0.1246
Sn2 0.0000 0.0000 0.5000
Sn3 0.5000 0.0000 0.8754
Zr1 0.5000 0.5000 0.5000
Rh1 0.5000 0.0000 0.6389
Rh2 0.0000 0.5000 0.3611
Rh3 0.0000 0.0000 0.0000
Rh4 0.5000 0.5000 0.0000

Calculated values
E_form in kJ per mole of atoms: -73.8
Calculated volume in A^3/atom: 22.94
Symmetry: P-4m2, No. 115

=====

Entry 4:
First-principles (PBE) data for a relaxed SrAcRh crystal, as listed in Alexandria via LeMat-Bulk.

Lattice parameters (Å, degrees): 5.1990 5.1990 5.1990 60.00 60.00 60.00
Positions (direct):
Rh1 0.2500 0.2500 0.2500
Sr1 0.5000 0.5000 0.5000
Ac1 0.0000 0.0000 0.0000

Calculated values
E_form in kJ per mole of atoms: -31.3
Calculated volume in A^3/atom: 33.12
Symmetry: F-43m, No. 216
Offset from the most stable computed form in meV/atom: 142

=====

Entry 5:
First-principles (PBE) data for a relaxed SrAc12Rh6 crystal, as listed in Alexandria via LeMat-Bulk.

Lattice parameters (Å, degrees): 9.1521 9.1521 9.1521 104.29 104.29 104.29
Positions (direct):
Ac1 0.5483 0.8124 0.5483
Ac2 0.8124 0.5483 0.5483
Ac3 0.5483 0.5483 0.8124
Ac4 0.4517 0.1876 0.4517
Ac5 0.1288 0.8712 0.5000
Ac6 0.8712 0.1288 0.5000
Ac7 0.1288 0.5000 0.8712
Ac8 0.5000 0.8712 0.1288
Ac9 0.4517 0.4517 0.1876
Ac10 0.8712 0.5000 0.1288
Ac11 0.5000 0.1288 0.8712
Ac12 0.1876 0.4517 0.4517
Rh1 0.6669 0.2454 0.2454
Rh2 0.7546 0.7546 0.3331
Rh3 0.7546 0.3331 0.7546
Rh4 0.2454 0.6669 0.2454
Rh5 0.3331 0.7546 0.7546
Rh6 0.2454 0.2454 0.6669
Sr1 0.0000 0.0000 0.0000

Calculated values
E_form in kJ per mole of atoms: -36.8
Calculated volume in A^3/atom: 35.80
Symmetry: R-3m, No. 166

=====

Entry 6:
First-principles (PBE) data for a relaxed SrAc2Rh crystal, as listed in Alexandria via LeMat-Bulk.

Lattice parameters (Å, degrees): 3.8193 3.8193 10.3643 90.00 90.00 90.00
Positions (direct):
Ac1 0.0000 0.0000 0.1670
Ac2 0.0000 0.0000 0.8330
Rh1 0.5000 0.5000 0.0000
Sr1 0.5000 0.5000 0.5000

Calculated values
E_form in kJ per mole of atoms: -24.6
Calculated volume in A^3/atom: 37.80
Symmetry: P4/mmm, No. 123
Offset from the most stable computed form in meV/atom: 161

=====

Entry 7:
First-principles (PBE) data for a relaxed Sr2AcRh crystal, as listed in Alexandria via LeMat-Bulk.

Lattice parameters (Å, degrees): 3.9443 3.9443 11.8200 80.40 80.40 60.00
Positions (direct):
Sr1 0.8875 0.8875 0.3376
Sr2 0.1125 0.1125 0.6624
Rh1 0.5000 0.5000 0.5000
Ac1 0.0000 0.0000 0.0000

Calculated values
E_form in kJ per mole of atoms: 11.9
Calculated volume in A^3/atom: 39.07
Symmetry: R-3m, No. 166
Offset from the most stable computed form in meV/atom: 459

=====

Entry 8:
First-principles (PBE) data for a relaxed SrAc4Rh2 crystal, as listed in Alexandria via LeMat-Bulk.

Lattice parameters (Å, degrees): 4.2891 6.5263 10.3161 100.25 102.00 90.00
Positions (direct):
Sr1 0.5000 0.5000 0.0000
Ac1 0.3671 0.9416 0.7341
Ac2 0.8170 0.3948 0.6340
Ac3 0.1830 0.6052 0.3660
Ac4 0.6329 0.0584 0.2659
Rh1 0.2322 0.1594 0.4645
Rh2 0.7678 0.8406 0.5355

Calculated values
E_form in kJ per mole of atoms: -35.7
Calculated volume in A^3/atom: 39.68
Symmetry: C2/m, No. 12

=====

Entry 9:
First-principles (PBE) data for a relaxed SrAc2Rh2 crystal, as listed in Alexandria via LeMat-Bulk.

Lattice parameters (Å, degrees): 7.5167 7.5178 7.9367 116.51 91.26 120.38
Positions (direct):
Ac1 0.5821 0.5032 0.7532
Ac2 0.7498 0.1709 0.2530
Ac3 0.2502 0.8291 0.7470
Ac4 0.4179 0.4968 0.2468
Sr1 0.0862 0.8363 0.2501
Sr2 0.9138 0.1637 0.7499
Rh1 0.6486 0.3273 0.0067
Rh2 0.1797 0.3582 0.5067
Rh3 0.8203 0.6418 0.4933
Rh4 0.3514 0.6727 0.9933

Calculated values
E_form in kJ per mole of atoms: -48.5
Calculated volume in A^3/atom: 32.79
Symmetry: C2/c, No. 15
Offset from the most stable computed form in meV/atom: 0

=====

Entry 10:
First-principles (PBE) data for a relaxed SrAcRh crystal, as listed in Alexandria via LeMat-Bulk.

Lattice parameters (Å, degrees): 4.3367 4.3405 13.8862 80.90 81.02 60.03
Positions (direct):
Sr1 0.5888 0.5316 0.2908
Sr2 0.3507 0.2822 0.0165
Ac1 0.7617 0.6958 0.7808
Ac2 0.1778 0.1178 0.5266
Rh1 0.0608 0.9938 0.8846
Rh2 0.8787 0.8198 0.4228

Calculated values
E_form in kJ per mole of atoms: -41.3
Calculated volume in A^3/atom: 37.11
Symmetry: C2/m, No. 12
Offset from the most stable computed form in meV/atom: 38

=====

Entry 11:
First-principles (PBE) data for a relaxed SrAcRh crystal, as listed in Alexandria via LeMat-Bulk.

Lattice parameters (Å, degrees): 6.9901 4.3140 4.3140 120.00 90.00 90.00
Positions (direct):
Sr1 0.7587 0.6667 0.3333
Rh1 0.0175 0.0000 0.0000
Ac1 0.2237 0.3333 0.6667

Calculated values
E_form in kJ per mole of atoms: -40.7
Calculated volume in A^3/atom: 37.55
Symmetry: P3m1, No. 156
Offset from the most stable computed form in meV/atom: 44

=====

Entry 12:
First-principles (PBE) data for a relaxed Sr2AcRh crystal, as listed in Alexandria via LeMat-Bulk.

Lattice parameters (Å, degrees): 4.2520 4.2520 18.2194 90.00 90.00 90.00
Positions (direct):
Sr1 0.5000 0.0000 0.9174
Sr2 0.5000 0.0000 0.2518
Sr3 0.0000 0.5000 0.0826
Sr4 0.0000 0.5000 0.7482
Rh1 0.0000 0.5000 0.5881
Rh2 0.5000 0.0000 0.4119
Ac1 0.0000 0.5000 0.4207
Ac2 0.5000 0.0000 0.5793

Calculated values
E_form in kJ per mole of atoms: -32.4
Calculated volume in A^3/atom: 41.18
Symmetry: P4/nmm, No. 129
Offset from the most stable computed form in meV/atom: 0

=====

Entry 13:
First-principles (PBE) data for a relaxed Sr2AcRh crystal, as listed in Alexandria via LeMat-Bulk.

Lattice parameters (Å, degrees): 4.1941 7.2187 10.4262 90.00 90.00 106.86
Positions (direct):
Sr1 0.3516 0.7035 0.5723
Sr2 0.3516 0.7035 0.9277
Sr3 0.6484 0.2965 0.4277
Sr4 0.6484 0.2965 0.0723
Rh1 0.7247 0.4497 0.7500
Rh2 0.2753 0.5503 0.2500
Ac1 0.9107 0.8213 0.2500
Ac2 0.0893 0.1787 0.7500

Calculated values
E_form in kJ per mole of atoms: -31.2
Calculated volume in A^3/atom: 37.76
Symmetry: Cmcm, No. 63
Offset from the most stable computed form in meV/atom: 12

=====

Entry 14:
First-principles (PBE) data for a relaxed SrAc2Rh crystal, as listed in Alexandria via LeMat-Bulk.

Lattice parameters (Å, degrees): 4.1195 7.0242 10.7499 90.00 90.00 107.07
Positions (direct):
Rh1 0.2162 0.4328 0.2500
Rh2 0.7838 0.5672 0.7500
Ac1 0.3586 0.7170 0.9263
Ac2 0.6414 0.2830 0.4263
Ac3 0.6414 0.2830 0.0737
Ac4 0.3586 0.7170 0.5737
Sr1 0.0918 0.1831 0.7500
Sr2 0.9082 0.8169 0.2500

Calculated values
E_form in kJ per mole of atoms: -29.9
Calculated volume in A^3/atom: 37.17
Symmetry: Cmcm, No. 63
Offset from the most stable computed form in meV/atom: 106

=====

Entry 15:
First-principles (PBE) data for a relaxed Sr2AcRh9 crystal, as listed in Alexandria via LeMat-Bulk.

Lattice parameters (Å, degrees): 5.4272 5.4272 9.4427 73.30 73.30 60.00
Positions (direct):
Sr1 0.8586 0.8586 0.4243
Sr2 0.1414 0.1414 0.5757
Rh1 0.5777 0.0856 0.7589
Rh2 0.9144 0.4223 0.2411
Rh3 0.5000 0.5000 0.5000
Rh4 0.4223 0.4223 0.2411
Rh5 0.6680 0.6680 0.9960
Rh6 0.4223 0.9144 0.2411
Rh7 0.0856 0.5777 0.7589
Rh8 0.3320 0.3320 0.0040
Rh9 0.5777 0.5777 0.7589
Ac1 0.0000 0.0000 0.0000

Calculated values
E_form in kJ per mole of atoms: -26.7
Calculated volume in A^3/atom: 18.93
Symmetry: R-3m, No. 166

=====

Entry 16:
First-principles (PBE) data for a relaxed SrAc6Rh3 crystal, as listed in Alexandria via LeMat-Bulk.

Lattice parameters (Å, degrees): 4.3135 13.4834 13.5082 102.57 90.00 90.00
Positions (direct):
Ac1 0.7500 0.2401 0.4687
Ac2 0.7500 0.9351 0.0942
Ac3 0.2500 0.6129 0.9573
Ac4 0.7500 0.6714 0.2437
Ac5 0.2500 0.0649 0.9058
Ac6 0.2500 0.1994 0.1944
Ac7 0.7500 0.8006 0.8056
Ac8 0.7500 0.5239 0.6360
Ac9 0.2500 0.3286 0.7563
Ac10 0.2500 0.4761 0.3640
Ac11 0.2500 0.7599 0.5313
Ac12 0.7500 0.3871 0.0427
Sr1 0.7500 0.0311 0.6384
Sr2 0.2500 0.9689 0.3616
Rh1 0.7500 0.4729 0.8481
Rh2 0.7500 0.6244 0.4522
Rh3 0.2500 0.3756 0.5478
Rh4 0.2500 0.8509 0.9507
Rh5 0.2500 0.5271 0.1519
Rh6 0.7500 0.1491 0.0493

Calculated values
E_form in kJ per mole of atoms: -44.7
Calculated volume in A^3/atom: 38.34
Symmetry: P2_1/m, No. 11

=====

Entry 17:
First-principles (PBE) data for a relaxed SrAc2Rh crystal, as listed in Alexandria via LeMat-Bulk.

Lattice parameters (Å, degrees): 4.3365 4.3365 10.6387 78.24 78.24 60.00
Positions (direct):
Rh1 0.6660 0.6660 0.0021
Ac1 0.2813 0.2813 0.1560
Ac2 0.0516 0.0516 0.8452
Sr1 0.5011 0.5011 0.4967

Calculated values
E_form in kJ per mole of atoms: -40.1
Calculated volume in A^3/atom: 42.10
Symmetry: R3m, No. 160
Offset from the most stable computed form in meV/atom: 0

=====

Entry 18:
First-principles (PBE) data for a relaxed Sr3AcRh8 crystal, as listed in Alexandria via LeMat-Bulk.

Lattice parameters (Å, degrees): 5.4991 5.4991 9.5605 73.29 73.29 60.00
Positions (direct):
Sr1 0.3745 0.3745 0.8764
Sr2 0.0023 0.0023 0.9932
Sr3 0.4976 0.4976 0.5073
Rh1 0.9374 0.9374 0.6868
Rh2 0.1873 0.1873 0.4382
Rh3 0.9374 0.4385 0.6868
Rh4 0.4378 0.9365 0.1880
Rh5 0.4378 0.4378 0.1880
Rh6 0.6875 0.6875 0.9374
Rh7 0.9365 0.4378 0.1880
Rh8 0.4385 0.9374 0.6868
Ac1 0.8756 0.8756 0.3733

Calculated values
E_form in kJ per mole of atoms: -34.1
Calculated volume in A^3/atom: 19.68
Symmetry: R3m, No. 160

=====

Entry 19:
First-principles (PBE) data for a relaxed SrAc8Rh5 crystal, as listed in Alexandria via LeMat-Bulk.

Lattice parameters (Å, degrees): 4.3644 10.6591 11.4274 103.32 101.01 90.00
Positions (direct):
Ac1 0.9057 0.1542 0.8115
Ac2 0.7594 0.8391 0.5188
Ac3 0.0943 0.8458 0.1886
Ac4 0.1747 0.4925 0.3494
Ac5 0.8253 0.5076 0.6505
Ac6 0.2406 0.1609 0.4813
Ac7 0.4275 0.8417 0.8551
Ac8 0.5725 0.1583 0.1450
Rh1 0.0000 0.0000 0.0000
Rh2 0.2984 0.6770 0.5968
Rh3 0.6647 0.0016 0.3295
Rh4 0.7016 0.3230 0.4032
Rh5 0.3353 0.9984 0.6705
Sr1 0.5000 0.5000 0.0000

Calculated values
E_form in kJ per mole of atoms: -54.7
Calculated volume in A^3/atom: 36.23
Symmetry: C2/m, No. 12

=====

Entry 20:
First-principles (PBE) data for a relaxed SrAc2Rh crystal, as listed in Alexandria via LeMat-Bulk.

Lattice parameters (Å, degrees): 4.3320 4.3320 10.7529 78.38 78.38 60.00
Positions (direct):
Sr1 0.5000 0.5000 0.5000
Rh1 0.0000 0.0000 0.0000
Ac1 0.2820 0.2820 0.1539
Ac2 0.7180 0.7180 0.8461

Calculated values
E_form in kJ per mole of atoms: -39.7
Calculated volume in A^3/atom: 42.49
Symmetry: R-3m, No. 166
Offset from the most stable computed form in meV/atom: 4

=====

| no. | size of the total moment (μB per atom) |
| --- | --- |
| 1 | 0.000 |
| 2 | 0.000 |
| 3 | 0.000 |
| 4 | 0.000 |
| 5 | 0.000 |
| 6 | 0.000 |
| 7 | 0.000 |
| 8 | 0.000 |
| 9 | 0.000 |
| 10 | 0.000 |
| 11 | 0.000 |
| 12 | 0.000 |
| 13 | 0.000 |
| 14 | 0.000 |
| 15 | 0.000 |
| 16 | 0.000 |
| 17 | 0.000 |
| 18 | 0.000 |
| 19 | 0.000 |
| 20 | 0.000 |